LiZn2Ge2 | PBE | optimized geometry

## Properties
- Polymorph energy (0 for the lowest one): 0.1058 eV/atom
- DOS(E_F): 2.17 states/eV per cell
- Spin magnetization: 0.00 Bohr magnetons per cell
- Calculated formation energy: 0.033 eV per atom

abc: 7.470 7.470 3.183
angles: 90.00 90.00 90.00
Positions (direct):
Ge (0.174, 0.674, 0.500)
Ge (0.674, 0.826, 0.500)
Ge (0.826, 0.326, 0.500)
Ge (0.326, 0.174, 0.500)
Zn (0.374, 0.874, 0.000)
Zn (0.874, 0.626, 0.000)
Zn (0.626, 0.126, 0.000)
Zn (0.126, 0.374, 0.000)
Li (0.000, 0.000, 0.000)
Li (0.500, 0.500, 0.000)